Record 1
This record from Alexandria via LeMat-Bulk describes a relaxed ErPuIrPd crystal. The functional is PBE.

Crystal system: cubic
Calculated formation energy in meV per atom: -661.9
E in eV for the cell shown: -142.39

a = 6.907 Å, b = 6.907 Å, c = 6.907 Å
α = 90.00°, β = 90.00°, γ = 90.00°
Space group F-43m (No. 216)
One atom of each set of equivalent atoms:
Er: 0.000 0.000 0.000 (multiplicity 4)
Pu: 0.000 0.000 0.500 (multiplicity 4)
Ir: 0.250 0.250 0.250 (multiplicity 4)
Pd: 0.250 0.250 0.750 (multiplicity 4)

Record 2
This record from Alexandria via LeMat-Bulk describes a relaxed ErSi2IrPd2 crystal. The functional is PBE.

Crystal system: tetragonal
E in eV for the cell shown: -37.28
Formation energy from raw total energies in kJ/mol of formula units: -253

a = 4.555 Å, b = 4.555 Å, c = 5.515 Å
α = 90.00°, β = 90.00°, γ = 90.00°
Space group P4/mmm (No. 123)
One atom of each set of equivalent atoms:
Er: 0.000 0.000 0.000 (multiplicity 1)
Si: 0.000 0.500 0.500 (multiplicity 2)
Ir: 0.000 0.000 0.500 (multiplicity 1)
Pd: 0.500 0.500 0.246 (multiplicity 2)

Record 3
This record from Alexandria via LeMat-Bulk describes a relaxed SmErIrPd crystal. The functional is PBE.

Crystal system: cubic
Calculated formation energy in meV per atom: -847.7
E in eV for the cell shown: -106.91

a = 6.973 Å, b = 6.973 Å, c = 6.973 Å
α = 90.00°, β = 90.00°, γ = 90.00°
Space group F-43m (No. 216)
One atom of each set of equivalent atoms:
Sm: 0.000 0.000 0.000 (multiplicity 4)
Er: 0.000 0.000 0.500 (multiplicity 4)
Ir: 0.250 0.250 0.750 (multiplicity 4)
Pd: 0.250 0.250 0.250 (multiplicity 4)

Record 4
This record from Alexandria via LeMat-Bulk describes a relaxed ErSnIrPd crystal. The functional is PBE.

Crystal system: cubic
Calculated formation energy in meV per atom: -719.5
E in eV for the cell shown: -101.99

a = 6.696 Å, b = 6.696 Å, c = 6.696 Å
α = 90.00°, β = 90.00°, γ = 90.00°
Space group F-43m (No. 216)
One atom of each set of equivalent atoms:
Er: 0.000 0.000 0.000 (multiplicity 4)
Sn: 0.000 0.000 0.500 (multiplicity 4)
Ir: 0.250 0.250 0.750 (multiplicity 4)
Pd: 0.250 0.250 0.250 (multiplicity 4)

Record 5
This record from Alexandria via LeMat-Bulk describes a relaxed ErTiIrPd crystal. The functional is PBE.

Crystal system: cubic
Calculated formation energy in meV per atom: -693.0
E in eV for the cell shown: -117.13

a = 6.580 Å, b = 6.580 Å, c = 6.580 Å
α = 90.00°, β = 90.00°, γ = 90.00°
Space group F-43m (No. 216)
One atom of each set of equivalent atoms:
Er: 0.000 0.000 0.000 (multiplicity 4)
Ti: 0.000 0.000 0.500 (multiplicity 4)
Ir: 0.250 0.250 0.250 (multiplicity 4)
Pd: 0.250 0.250 0.750 (multiplicity 4)

Record 6
This record from Alexandria via LeMat-Bulk describes a relaxed ErUIrPd crystal. The functional is PBE.

Crystal system: cubic
Calculated formation energy in meV per atom: -538.6
E in eV for the cell shown: -128.24

a = 6.899 Å, b = 6.899 Å, c = 6.899 Å
α = 90.00°, β = 90.00°, γ = 90.00°
Space group F-43m (No. 216)
One atom of each set of equivalent atoms:
Er: 0.000 0.000 0.000 (multiplicity 4)
U: 0.000 0.000 0.500 (multiplicity 4)
Ir: 0.250 0.250 0.250 (multiplicity 4)
Pd: 0.250 0.250 0.750 (multiplicity 4)